Record 1
CoCu2Mo: relaxed, PBE-GGA.

Properties
offset from the most stable computed form: 73 meV per atom
crystal system: monoclinic
SG: C2/m, No. 12
spin magnetization: 0.000 μB/f.u.
final energy: -6.30 eV per atom
E_form: 0.23 eV/atom

a = 4.667 Å, b = 4.667 Å, c = 4.354 Å
α = 100.61°, β = 100.61°, γ = 32.80°
Sites, in units of the cell vectors:
Co  0.000  0.000  0.000
Cu  0.256  0.256  0.757
Cu  0.744  0.744  0.243
Mo  0.500  0.500  0.500

Record 2
PrY6Er3: relaxed, PBE-GGA.

Properties
offset from the most stable computed form: 28 meV per atom
crystal system: orthorhombic
SG: Cmc2_1, No. 36
spin magnetization: 0.000 μB/f.u.
final energy: -5.58 eV per atom
E_form: 0.14 eV/atom

a = 11.053 Å, b = 11.053 Å, c = 6.277 Å
α = 90.00°, β = 90.00°, γ = 121.82°
Sites, in units of the cell vectors:
Pr  0.212  0.788  0.500
Pr  0.788  0.212  0.000
Y  0.018  0.439  0.654
Y  0.050  0.950  0.209
Y  0.287  0.373  0.801
Y  0.311  0.689  0.940
Y  0.373  0.287  0.301
Y  0.439  0.018  0.154
Y  0.561  0.982  0.654
Y  0.627  0.713  0.801
Y  0.689  0.311  0.440
Y  0.713  0.627  0.301
Y  0.950  0.050  0.709
Y  0.982  0.561  0.154
Er  0.076  0.291  0.245
Er  0.291  0.076  0.745
Er  0.385  0.615  0.405
Er  0.615  0.385  0.905
Er  0.709  0.924  0.245
Er  0.924  0.709  0.745

Record 3
CaLa2Ru: relaxed, PBE-GGA.

Properties
offset from the most stable computed form: 226 meV per atom
crystal system: tetragonal
SG: P4mm, No. 99
spin magnetization: 0.000 μB/f.u.
final energy: -5.26 eV per atom
E_form: 0.02 eV/atom

a = 3.538 Å, b = 3.538 Å, c = 9.635 Å
α = 90.00°, β = 90.00°, γ = 90.00°
Sites, in units of the cell vectors:
Ca  0.000  0.000  0.000
La  0.000  0.000  0.648
La  0.500  0.500  0.330
Ru  0.500  0.500  0.804

Record 4
LaBe: relaxed, PBE-GGA.

Properties
offset from the most stable computed form: 682 meV per atom
crystal system: cubic
SG: I-43m, No. 217
spin magnetization: 0.000 μB/f.u.
final energy: -3.60 eV per atom
E_form: 0.72 eV/atom

a = 7.145 Å, b = 7.145 Å, c = 7.145 Å
α = 109.47°, β = 109.47°, γ = 109.47°
Sites, in units of the cell vectors:
La  0.000  0.000  0.416
La  0.000  0.416  0.000
La  0.416  0.000  0.000
La  0.584  0.584  0.584
Be  0.000  0.000  0.817
Be  0.000  0.817  0.000
Be  0.183  0.183  0.183
Be  0.817  0.000  0.000

Record 5
BaAcInO4: relaxed, PBE-GGA.

Properties
crystal system: orthorhombic
SG: Cmcm, No. 63
spin magnetization: 0.000 μB/f.u.
ΔE_f (raw): -17.1 eV per formula unit
final energy: -6.53 eV per atom

a = 7.285 Å, b = 7.285 Å, c = 6.010 Å
α = 90.00°, β = 90.00°, γ = 131.73°
Sites, in units of the cell vectors:
Ba  0.103  0.897  0.750
Ba  0.897  0.103  0.250
Ac  0.388  0.612  0.750
Ac  0.612  0.388  0.250
In  0.250  0.750  0.250
In  0.750  0.250  0.750
O  0.000  0.500  0.000
O  0.000  0.500  0.500
O  0.086  0.914  0.250
O  0.430  0.570  0.250
O  0.500  0.000  0.000
O  0.500  0.000  0.500
O  0.570  0.430  0.750
O  0.914  0.086  0.750